Below is a geometry-optimized Ho2SiP structure, with properties calculated at the PBE-GGA level.

Values from the calculation:
Total magnetization (μB per formula unit): 0.0
Symmetry: R-3m
VASP energy (Ha/atom): -0.222
Distance to the lowest polymorph of the same formula (eV/f.u.): 0.642
Calculated volume (A^3/atom): 23.2
D(E_F) (states/eV per cell): 0.756
ΔE_f (raw) (eV per atom): -1.045

a = 3.905 Å, b = 3.905 Å, c = 7.373 Å
α = 74.64°, β = 74.64°, γ = 60.00°
Sites, in units of the cell vectors:
P 0.000 0.000 0.000
Si 0.500 0.500 0.500
Ho 0.256 0.256 0.233
Ho 0.744 0.744 0.767

Below is a geometry-optimized Ho6SiTe3P2 structure, with properties calculated at the PBE-GGA level.

Values from the calculation:
Total magnetization (μB per formula unit): 0.0
Symmetry: C2/m
VASP energy (Ha/atom): -0.214
Calculated volume (A^3/atom): 26.0
D(E_F) (states/eV per cell): 3.854
ΔE_f (raw) (eV per atom): -1.395

a = 4.132 Å, b = 8.495 Å, c = 9.450 Å
α = 105.12°, β = 102.63°, γ = 90.00°
Sites, in units of the cell vectors:
Ho 0.341 0.895 0.683
Ho 0.676 0.562 0.351
Ho 0.659 0.105 0.317
Ho 0.008 0.232 0.016
Ho 0.992 0.768 0.984
Ho 0.324 0.438 0.649
Si 0.500 0.000 0.000
Te 0.500 0.500 0.000
Te 0.833 0.167 0.666
Te 0.167 0.833 0.334
P 0.832 0.665 0.665
P 0.168 0.335 0.335

Below is a geometry-optimized Ho8SiTe4P3 structure, with properties calculated at the PBE-GGA level.

Values from the calculation:
Total magnetization (μB per formula unit): 0.0
Symmetry: R-3m
VASP energy (Ha/atom): -0.215
Calculated volume (A^3/atom): 25.9
D(E_F) (states/eV per cell): 4.819
ΔE_f (raw) (eV per atom): -1.434

a = 8.249 Å, b = 8.483 Å, c = 8.249 Å
α = 119.10°, β = 120.00°, γ = 90.00°
Sites, in units of the cell vectors:
Ho 0.238 0.713 0.976
Ho 0.238 0.712 0.476
Ho 0.263 0.290 0.527
Ho 0.737 0.713 0.976
Ho 0.263 0.287 0.024
Ho 0.737 0.710 0.473
Ho 0.762 0.288 0.524
Ho 0.762 0.287 0.024
Si 0.000 0.500 0.000
Te 0.500 0.000 0.000
Te 0.500 0.000 0.500
Te 0.000 0.000 0.000
Te 0.000 0.000 0.500
P 0.500 0.500 0.000
P 0.500 0.500 0.500
P 0.000 0.500 0.500

Below is a geometry-optimized Sm5Ho3P8 structure, with properties calculated at the PBE-GGA level.

Values from the calculation:
Total magnetization (μB per formula unit): 0.0
Symmetry: R-3m
VASP energy (Ha/atom): -0.243
Calculated volume (A^3/atom): 23.7
D(E_F) (states/eV per cell): 2.066
Energy of formation from the pure elements (eV per atom): -1.583

a = 8.126 Å, b = 8.126 Å, c = 8.126 Å
α = 60.00°, β = 60.00°, γ = 60.00°
Sites, in units of the cell vectors:
Sm 0.500 0.000 0.000
Sm 0.500 0.500 0.000
Sm 0.000 0.000 0.000
Sm 0.000 0.500 0.000
Sm 0.500 0.500 0.500
Ho 0.500 0.000 0.500
Ho 0.000 0.000 0.500
Ho 0.000 0.500 0.500
P 0.250 0.250 0.745
P 0.250 0.755 0.745
P 0.755 0.250 0.745
P 0.752 0.752 0.743
P 0.750 0.750 0.255
P 0.750 0.245 0.255
P 0.245 0.750 0.255
P 0.248 0.248 0.257

Below is a geometry-optimized Sm2HoP3 structure, with properties calculated at the PBE-GGA level.

Values from the calculation:
Total magnetization (μB per formula unit): 0.0
Symmetry: C2/m
VASP energy (Ha/atom): -0.243
Calculated volume (A^3/atom): 23.8
D(E_F) (states/eV per cell): 1.565
Energy of formation from the pure elements (eV per atom): -1.581

a = 7.046 Å, b = 7.046 Å, c = 7.047 Å
α = 99.59°, β = 99.59°, γ = 119.99°
Sites, in units of the cell vectors:
Sm 0.833 0.167 0.500
Sm 0.333 0.667 0.000
Sm 0.167 0.833 0.500
Sm 0.499 0.501 0.500
Ho 0.000 0.000 0.000
Ho 0.666 0.334 0.000
P 0.589 0.922 0.755
P 0.078 0.411 0.245
P 0.914 0.585 0.755
P 0.252 0.248 0.755
P 0.415 0.086 0.245
P 0.752 0.748 0.245

Below is a geometry-optimized SmHo3P structure, with properties calculated at the PBE-GGA level.

Values from the calculation:
Total magnetization (μB per formula unit): 1.3
Symmetry: Pm-3m
VASP energy (Ha/atom): -0.190
Calculated volume (A^3/atom): 30.9
D(E_F) (states/eV per cell): 8.375
Energy of formation from the pure elements (eV per atom): -0.405

a = 5.366 Å, b = 5.366 Å, c = 5.366 Å
α = 90.00°, β = 90.00°, γ = 90.00°
Sites, in units of the cell vectors:
P 0.000 0.000 0.000
Ho 0.000 0.500 0.000
Ho 0.000 0.000 0.500
Ho 0.500 0.000 0.000
Sm 0.500 0.500 0.500

Below is a geometry-optimized TbSmHo2P4 structure, with properties calculated at the PBE-GGA level.

Values from the calculation:
Total magnetization (μB per formula unit): 0.0
Symmetry: P2/m
VASP energy (Ha/atom): -0.243
Calculated volume (A^3/atom): 23.1
D(E_F) (states/eV per cell): 0.818
Energy of formation from the pure elements (eV per atom): -1.600

a = 4.029 Å, b = 6.974 Å, c = 6.976 Å
α = 70.53°, β = 90.00°, γ = 90.00°
Sites, in units of the cell vectors:
Tb 0.000 0.500 0.500
Sm 0.500 0.500 0.000
Ho 0.000 0.000 0.000
Ho 0.500 0.000 0.500
P 0.000 0.756 0.746
P 0.000 0.244 0.254
P 0.500 0.754 0.251
P 0.500 0.246 0.749

Below is a geometry-optimized Tb2SmHo3P6 structure, with properties calculated at the PBE-GGA level.

Values from the calculation:
Total magnetization (μB per formula unit): 0.0
Symmetry: C2/m
VASP energy (Ha/atom): -0.243
Calculated volume (A^3/atom): 23.0
D(E_F) (states/eV per cell): 1.688
Energy of formation from the pure elements (eV per atom): -1.604

a = 6.965 Å, b = 6.965 Å, c = 6.964 Å
α = 99.59°, β = 99.59°, γ = 119.99°
Sites, in units of the cell vectors:
Tb 0.333 0.667 0.000
Tb 0.667 0.333 0.000
Sm 0.000 0.000 0.000
Ho 0.166 0.834 0.500
Ho 0.834 0.166 0.500
Ho 0.500 0.500 0.500
P 0.915 0.579 0.746
P 0.749 0.749 0.254
P 0.085 0.421 0.254
P 0.579 0.915 0.746
P 0.251 0.251 0.746
P 0.421 0.085 0.254